Here is a relaxed structure of Ce2Ga2Ni from Alexandria via LeMat-Bulk. Energies are from PBE-GGA.

extended XYZ file:
```
10
Lattice="-2.714 -0.139 -3.338 -4.218 -3.794 0.812 -5.153 7.840 1.088" Properties=species:S:1:pos:R:3 pbc="T T T"
Ga -7.962 0.272 -1.864
Ga -4.123 3.636 0.425
Ga -9.847 3.404 -0.461
Ga -2.238 0.503 -0.977
Ce -5.010 1.457 -1.538
Ce -7.075 2.450 0.100
Ce -3.595 -1.980 0.230
Ce -8.490 5.888 -1.668
Ni -6.380 -0.841 -0.329
Ni -5.705 4.749 -1.109
```

## Properties
For the size of the total moment, the calculation gives 0.530 μB/f.u. The calculated total energy comes out at -26.2 eV per formula unit. The formation energy comes out at -0.501 eV/atom. The density comes out at 7785 kg/m³.